# Ba3Zn2TcO8

An optimized crystal structure of Ba3Zn2TcO8 (PBE, Alexandria).

## Properties
Final energy ... -6.075 eV per atom
Crystal system ... trigonal
Symmetry ... P-3m1
Uncorrected formation energy ... -1907 meV/atom

abc: 5.786 5.786 7.615
angles: 90.00 90.00 120.00
Element x y z (fractional)
O 0.157 0.314 0.349
Ba 0.000 0.000 0.000
Zn 0.667 0.333 0.788
Zn 0.333 0.667 0.212
O 0.686 0.843 0.349
Ba 0.333 0.667 0.656
Ba 0.667 0.333 0.344
O 0.843 0.157 0.651
O 0.843 0.686 0.651
Tc 0.000 0.000 0.500
O 0.333 0.667 0.972
O 0.314 0.157 0.651
O 0.667 0.333 0.028
O 0.157 0.843 0.349